1.
Below is a relaxed structure of La5PmNd2Sc, with properties calculated at the PBE level.

Lattice parameters (Å, degrees): 8.5720 8.5720 8.7609 90.00 90.00 90.00
Space group P4/mbm (No. 127)
Symmetry-distinct sites (fractional):
La: 0.0000 0.0000 0.0000
La: 0.2165 0.2835 0.2854
Pm: 0.0000 0.0000 0.5000
Nd: 0.1240 0.6240 0.0000
Sc: 0.0000 0.5000 0.5000

Output
Size of the total moment (μB per cell): 0.000
Energy of formation from the pure elements (eV per formula unit): 2.4

2.
Below is a relaxed structure of LaPmNd3Sc, with properties calculated at the PBE level.

Lattice parameters (Å, degrees): 5.0895 15.3697 10.2558 90.00 90.00 90.00
Space group Cmcm (No. 63)
Symmetry-distinct sites (fractional):
La: 0.0000 0.0046 0.2500
Pm: 0.0000 0.5000 0.0000
Nd: 0.0000 0.1679 0.0013
Nd: 0.0000 0.3295 0.2500
Sc: 0.0000 0.3314 0.7500

Output
Size of the total moment (μB per cell): 0.000
Energy of formation from the pure elements (eV per formula unit): 0.2

3.
Below is a relaxed structure of LaPm2NdSe4, with properties calculated at the PBE level.

Lattice parameters (Å, degrees): 7.3524 4.1965 7.3628 90.00 109.04 90.00
Space group P2/m (No. 10)
Symmetry-distinct sites (fractional):
La: 0.0000 0.0000 0.0000
Pm: 0.0000 0.5000 0.5000
Pm: 0.5000 0.0000 0.5000
Nd: 0.5000 0.5000 0.0000
Se: 0.2504 0.0000 0.7455
Se: 0.2542 0.5000 0.2562

Output
Size of the total moment (μB per cell): 0.000
Raw formation energy (meV/atom): -1878

4.
Below is a relaxed structure of La3Pm3NdSe8, with properties calculated at the PBE level.

Lattice parameters (Å, degrees): 8.4487 8.4487 20.9509 90.00 90.00 120.00
Space group R-3m (No. 166, hexagonal axes)
Symmetry-distinct sites (fractional):
La: 0.0000 0.5000 0.0000
Pm: 0.0000 0.5000 0.5000
Nd: 0.0000 0.0000 0.5000
Se: 0.0000 0.0000 0.2476
Se: 0.0049 0.5025 0.7513

Output
Size of the total moment (μB per cell): 0.000
Raw formation energy (meV/atom): -1938

Summary of uncorrected energy in eV/atom
-4.7653, -5.0106, -6.0194, -6.0497
(order as listed above)